Record 1
Material: LiPIrPd
Method: DFT, GGA-PBE
State: relaxed

Values from the calculation:
calculated formation energy: -0.342 eV per atom
DOS at the Fermi energy: 1.10 states/eV per atom
uncorrected energy: -5.6861 eV/atom
space group: No. 216
magnetization: 0.00 μB/atom

a b c (Å): 4.1622 4.1622 4.1622
angles (deg): 60.00 60.00 60.00
With the nearest neighbours (Å) after each atom.
Positions (direct):
Li: 0.0000 0.0000 0.0000  4 Ir 2.55, 4 Pd 2.55
P: 0.5000 0.5000 0.5000  4 Ir 2.55, 4 Pd 2.55
Ir: 0.7500 0.7500 0.7500  4 Li 2.55, 4 P 2.55
Pd: 0.2500 0.2500 0.2500  4 P 2.55, 4 Li 2.55

=====

Record 2
Material: SmHo3Rh8
Method: DFT, GGA-PBE
State: relaxed

Values from the calculation:
calculated formation energy: -0.711 eV per atom
DOS at the Fermi energy: 0.58 states/eV per atom
uncorrected energy: -7.1498 eV/atom
space group: No. 156
magnetization: 0.00 μB/atom

a b c (Å): 5.3385 5.3385 8.7375
angles (deg): 90.00 90.00 120.00
With the nearest neighbours (Å) after each atom.
Positions (direct):
Sm: 0.0000 0.0000 0.0000  12 Rh 3.12-3.18, 4 Ho 3.21-3.30
Ho: 0.0000 0.0000 0.3672  12 Rh 3.11-3.14, 1 Sm 3.21, 3 Ho 3.29
Ho: 0.6667 0.3333 0.4987  12 Rh 3.11-3.14, 4 Ho 3.20-3.29
Ho: 0.6667 0.3333 0.8646  12 Rh 3.11-3.19, 1 Ho 3.20, 3 Sm 3.30
Rh: 0.1645 0.3291 0.6810  6 Rh 2.64-2.70
Rh: 0.1645 0.8355 0.6810  6 Rh 2.64-2.70
Rh: 0.3333 0.6667 0.4327  6 Rh 2.67
Rh: 0.3333 0.6667 0.9322  6 Rh 2.69-2.70
Rh: 0.5023 0.0045 0.1849  6 Rh 2.63-2.71
Rh: 0.5023 0.4977 0.1849  6 Rh 2.63-2.71
Rh: 0.6709 0.8355 0.6810  6 Rh 2.64-2.70
Rh: 0.9955 0.4977 0.1849  6 Rh 2.63-2.71

=====

Record 3
Material: Nd3MgCd8
Method: DFT, GGA-PBE
State: relaxed

Values from the calculation:
calculated formation energy: -0.244 eV per atom
DOS at the Fermi energy: 0.54 states/eV per atom
uncorrected energy: -2.1786 eV/atom
space group: No. 160
magnetization: 0.00 μB/atom

a b c (Å): 10.3130 10.3130 10.3130
angles (deg): 33.68 33.68 33.68
With the nearest neighbours (Å) after each atom.
Positions (direct):
Nd: 0.0000 0.0000 0.0000  12 Cd 3.47-3.55, 4 Nd 3.65-3.72
Nd: 0.1253 0.1253 0.1253  12 Cd 3.43-3.53, 3 Mg 3.61, 1 Nd 3.65
Nd: 0.6186 0.6186 0.6186  12 Cd 3.43-3.61, 1 Mg 3.60, 3 Nd 3.72
Mg: 0.4951 0.4951 0.4951  12 Cd 3.42-3.55, 4 Nd 3.60-3.61
Cd: 0.0597 0.5612 0.5612  6 Cd 2.97-3.00
Cd: 0.0613 0.0613 0.5590  6 Cd 2.97-3.00
Cd: 0.0613 0.5590 0.0613  6 Cd 2.97-3.00
Cd: 0.3109 0.3109 0.3109  6 Cd 2.98
Cd: 0.5590 0.0613 0.0613  6 Cd 2.97-3.00
Cd: 0.5612 0.0597 0.5612  6 Cd 2.97-3.00
Cd: 0.5612 0.5612 0.0598  6 Cd 2.97-3.00
Cd: 0.8103 0.8103 0.8103  6 Cd 2.97-2.99

=====

Record 4
Material: FeTc2Ru
Method: DFT, GGA-PBE
State: relaxed

Values from the calculation:
calculated formation energy: 0.094 eV per atom
DOS at the Fermi energy: 1.11 states/eV per atom
uncorrected energy: -9.5236 eV/atom
space group: No. 65
magnetization: 0.36 μB/atom

a b c (Å): 4.6609 4.6609 2.6848
angles (deg): 90.00 90.00 110.26
With the nearest neighbours (Å) after each atom.
Positions (direct):
Fe: 0.0000 0.0000 0.0000  2 Ru 2.66, 2 Fe 2.68, 8 Tc 2.69
Tc: 0.0000 0.5000 0.5000  4 Tc 2.66-2.68, 4 Fe 2.69, 4 Ru 2.69
Tc: 0.5000 0.0000 0.5000  4 Tc 2.66-2.68, 4 Fe 2.69, 4 Ru 2.69
Ru: 0.5000 0.5000 0.0000  2 Fe 2.66, 2 Ru 2.68, 8 Tc 2.69

=====

Record 5
Material: Hg2GePb2
Method: DFT, GGA-PBE
State: relaxed

Values from the calculation:
calculated formation energy: 0.195 eV per atom
DOS at the Fermi energy: 0.48 states/eV per atom
uncorrected energy: -2.3320 eV/atom
space group: No. 139
magnetization: 0.00 μB/atom

a b c (Å): 9.3695 9.3695 9.3695
angles (deg): 155.07 155.07 35.55
With the nearest neighbours (Å) after each atom.
Positions (direct):
Hg: 0.2500 0.7500 0.5000  4 Hg 2.86
Hg: 0.7500 0.2500 0.5000  4 Hg 2.86
Ge: 0.0000 0.0000 0.0000  8 Pb 3.28
Pb: 0.4106 0.4106 0.0000  1 Pb 3.19, 4 Ge 3.28, 4 Hg 3.51
Pb: 0.5894 0.5894 0.0000  1 Pb 3.19, 4 Ge 3.28, 4 Hg 3.51

=====

Record 6
Material: ReBrO2
Method: DFT, GGA-PBE
State: relaxed

Values from the calculation:
DOS at the Fermi energy: 0.46 states/eV per atom
uncorrected energy: -6.6255 eV/atom
space group: No. 166
magnetization: 0.00 μB/atom

a b c (Å): 9.1062 9.1062 9.1062
angles (deg): 17.88 17.88 17.88
With the nearest neighbours (Å) after each atom.
Positions (direct):
Re: 0.0000 0.0000 0.0000  6 O 2.07
Br: 0.5000 0.5000 0.5000  6 Br 2.83
O: 0.3806 0.3806 0.3806  3 Re 2.07
O: 0.6194 0.6194 0.6194  3 Re 2.07

=====

Record 7
Material: YBeCd2
Method: DFT, GGA-PBE
State: relaxed

Values from the calculation:
calculated formation energy: 0.034 eV per atom
DOS at the Fermi energy: 0.53 states/eV per atom
uncorrected energy: -2.9714 eV/atom
space group: No. 6
magnetization: 0.00 μB/atom

a b c (Å): 3.4570 4.2247 6.0391
angles (deg): 90.00 106.56 90.00
With the nearest neighbours (Å) after each atom.
Positions (direct):
Y: 0.0000 0.0000 0.0000  4 Be 2.96, 3 Cd 3.12-3.19
Be: 0.5975 0.5000 0.1972  2 Cd 2.57
Cd: 0.3379 0.5000 0.6752  3 Be 3.02-3.27, 4 Cd 3.02-3.03, 4 Y 3.31
Cd: 0.7246 0.0000 0.4496  2 Be 2.57

=====

Record 8
Material: ReIr3Os
Method: DFT, GGA-PBE
State: relaxed

Values from the calculation:
calculated formation energy: 2.371 eV per atom
DOS at the Fermi energy: 1.38 states/eV per atom
uncorrected energy: -7.6807 eV/atom
space group: No. 221
magnetization: 0.74 μB/atom

a b c (Å): 4.6878 4.6878 4.6878
angles (deg): 90.00 90.00 90.00
With the nearest neighbours (Å) after each atom.
Positions (direct):
Re: 0.0000 0.0000 0.0000  12 Ir 3.31
Ir: 0.0000 0.5000 0.5000  2 Os 2.34
Ir: 0.5000 0.0000 0.5000  2 Os 2.34
Ir: 0.5000 0.5000 0.0000  2 Os 2.34
Os: 0.5000 0.5000 0.5000  6 Ir 2.34